# Zr2TlN

An optimized crystal structure of Zr2TlN (GGA-PBE, the Alexandria database).

abc: 4.719 4.719 4.719
angles: 60.00 60.00 60.00
Sites, in units of the cell vectors:
Tl  0.500  0.500  0.500
Zr  0.250  0.250  0.250
Zr  0.750  0.750  0.750
N  0.000  0.000  0.000

* uncorrected energy: -6.349 eV/atom
* calculated volume: 74.3 Å³/cell
* SG: No. 225
* ΔE_f (raw): 598 meV per atom